1.
Density functional theory data (meta-GGA SCAN) for a PBEsol-optimized structure of KY2Br.

**DOS at the Fermi energy**: 3.0 states/eV/cell
**Raw formation energy**: -58 kJ/mol of formula units
**Final energy**: -21.019 eV per atom
**Symmetry**: No. 12
**Calculated volume**: 32.28 Å³/atom
**Mass density**: 3.8 g/cm3

abc: 7.131 7.131 3.630
angles: 104.61 104.61 123.97
Fractional coordinates of all 4 atoms:
K 0.000 0.000 0.000
Y 0.000 0.500 0.000
Y 0.500 0.000 0.000
Br 0.500 0.500 0.000

***

2.
Density functional theory data (meta-GGA SCAN) for a PBEsol-optimized structure of KYBr2.

**DOS at the Fermi energy**: 5.0 states/eV/cell
**Raw formation energy**: -441 kJ/mol of formula units
**Relative energy among the computed polymorphs**: 93.4 kJ/mol of formula units
**Final energy**: -19.915 eV per atom
**Symmetry**: No. 122
**Calculated volume**: 33.94 Å³/atom
**Mass density**: 3.5 g/cm3

abc: 7.066 7.066 7.066
angles: 109.87 109.87 108.68
Fractional coordinates of all 8 atoms:
K 0.000 0.000 0.000
K 0.750 0.250 0.500
Y 0.250 0.750 0.500
Y 0.500 0.500 0.000
Br 0.162 0.125 0.537
Br 0.375 0.838 0.963
Br 0.588 0.625 0.463
Br 0.875 0.412 0.037

***

3.
Density functional theory data (meta-GGA SCAN) for a PBEsol-optimized structure of K3YBr.

**DOS at the Fermi energy**: 8.7 states/eV/cell
**Raw formation energy**: 221 kJ/mol of formula units
**Final energy**: -13.999 eV per atom
**Symmetry**: No. 221
**Calculated volume**: 76.54 Å³/atom
**Mass density**: 1.2 g/cm3

abc: 7.260 7.260 7.260
angles: 90.00 90.00 90.00
Fractional coordinates of all 5 atoms:
K 0.000 0.000 0.500
K 0.000 0.500 0.000
K 0.500 0.000 0.000
Y 0.000 0.000 0.000
Br 0.500 0.500 0.500

***

4.
Density functional theory data (meta-GGA SCAN) for a PBEsol-optimized structure of K2YBr.

**DOS at the Fermi energy**: 1.0 states/eV/cell
**Raw formation energy**: -17 kJ/mol of formula units
**Relative energy among the computed polymorphs**: 169.7 kJ/mol of formula units
**Final energy**: -16.034 eV per atom
**Symmetry**: No. 119
**Calculated volume**: 39.95 Å³/atom
**Mass density**: 2.6 g/cm3

abc: 7.305 7.305 7.305
angles: 139.97 139.97 57.90
Fractional coordinates of all 4 atoms:
K 0.000 0.000 0.000
K 0.750 0.250 0.500
Y 0.500 0.500 0.000
Br 0.250 0.750 0.500

***

5.
Density functional theory data (meta-GGA SCAN) for a PBEsol-optimized structure of KYBr2.

**DOS at the Fermi energy**: 1.3 states/eV/cell
**Raw formation energy**: -534 kJ/mol of formula units
**Relative energy among the computed polymorphs**: 0.0 kJ/mol of formula units
**Final energy**: -20.157 eV per atom
**Symmetry**: No. 166
**Calculated volume**: 27.04 Å³/atom
**Mass density**: 4.4 g/cm3

abc: 9.067 9.067 9.067
angles: 23.98 23.98 23.98
Fractional coordinates of all 4 atoms:
K 0.000 0.000 0.000
Y 0.500 0.500 0.500
Br 0.244 0.244 0.244
Br 0.756 0.756 0.756

***

6.
Density functional theory data (meta-GGA SCAN) for a PBEsol-optimized structure of K2ZnBr.

**DOS at the Fermi energy**: 2.4 states/eV/cell
**Raw formation energy**: -283 kJ/mol of formula units
**Final energy**: -13.142 eV per atom
**Symmetry**: No. 12
**Calculated volume**: 37.30 Å³/atom
**Mass density**: 2.5 g/cm3

abc: 4.407 4.407 9.269
angles: 103.36 103.36 59.32
Fractional coordinates of all 4 atoms:
K 0.241 0.241 0.226
K 0.759 0.759 0.774
Zn 0.000 0.000 0.500
Br 0.500 0.500 0.000